Entry from the Alexandria database: a crystal of ZrCuGe2 relaxed with PBEsol (SCAN).

Symmetry: P4/nmm (129)
Energy of formation from the pure elements, eV/f.u.: -2.26
Density, g/cm³: 7.75
Volume, Å³/cell: 128.57
Calculated total energy, eV/f.u.: -86.329
M_tot, μB/f.u.: 0.000

Unit cell a=3.769 b=3.769 c=9.051 alpha=90.00 beta=90.00 gamma=90.00
Atoms (fractional coordinates):
Ge 0.000 0.000 0.500
Ge 0.500 0.000 0.826
Ge 0.500 0.500 0.500
Ge 0.000 0.500 0.174
Cu 0.500 0.500 0.000
Cu 0.000 0.000 0.000
Zr 0.500 0.000 0.262
Zr 0.000 0.500 0.738

***

Entry from the Alexandria database: a crystal of Ta3FeNi relaxed with PBEsol (SCAN).

Symmetry: Pm-3m (221)
Energy of formation from the pure elements, eV/f.u.: 5.06
Density, g/cm³: 12.25
Volume, Å³/cell: 89.10
Calculated total energy, eV/f.u.: -228.993
M_tot, μB/f.u.: 0.000

Unit cell a=4.466 b=4.466 c=4.466 alpha=90.00 beta=90.00 gamma=90.00
Atoms (fractional coordinates):
Fe 0.000 0.000 0.000
Ta 0.000 0.000 0.500
Ta 0.500 0.000 0.000
Ta 0.000 0.500 0.000
Ni 0.500 0.500 0.500